(1)
The following is a PBE-GGA calculation of a relaxed KRbHfO3 crystal, from the Alexandria database.

abc: 5.8606 6.4674 7.1082
angles: 62.94 87.50 84.50
Closest atoms and distances in Å follow each position.
Fractional positions:
Rb 0.2500 0.2516 0.4968  4 O 2.99-3.28
Rb 0.7500 0.7484 0.5032  4 O 2.99-3.28
Hf 0.2500 0.9482 0.1035  5 O 1.94-2.11
Hf 0.7500 0.0518 0.8965  5 O 1.94-2.11
O 0.4973 0.8174 0.9630  2 Hf 2.05-2.11
O 0.9973 0.7804 0.0370  2 Hf 2.05-2.11
O 0.2500 0.7953 0.4093  1 Hf 1.94
O 0.0027 0.2196 0.9630  2 Hf 2.05-2.11
O 0.7500 0.2047 0.5907  1 Hf 1.94
O 0.5027 0.1826 0.0370  2 Hf 2.05-2.11
K 0.7500 0.4152 0.1696  5 O 2.66-2.67
K 0.2500 0.5848 0.8304  5 O 2.66-2.67

## Properties
Crystal system: monoclinic
E (eV/atom): -7.004
Magnetic moment (μB per atom): 0.000
Density (g cm⁻³): 4.9
SG: C2/c (15)
E_form (uncorrected) (meV per atom): -2522

(2)
The following is a PBE-GGA calculation of a relaxed K2HfReO6 crystal, from the Alexandria database.

abc: 4.0268 5.7237 5.7237
angles: 90.00 90.00 90.00
Closest atoms and distances in Å follow each position.
Fractional positions:
O 0.6447 0.2375 0.7625  1 Re 1.92, 1 Hf 2.12
O 0.6447 0.2375 0.2375  1 Re 1.92, 1 Hf 2.12
O 0.6447 0.7625 0.7625  1 Re 1.92, 1 Hf 2.12
O 0.6447 0.7625 0.2375  1 Re 1.92, 1 Hf 2.12
O 0.1448 0.0000 0.0000  2 Re 2.01
O 0.1447 0.5000 0.5000  2 Hf 2.01
K 0.1446 0.5000 0.0000  12 O 2.86
K 0.1446 0.0000 0.5000  12 O 2.86
Re 0.6444 0.0000 0.0000  6 O 1.92-2.01
Hf 0.6448 0.5000 0.5000  6 O 2.01-2.12

## Properties
Crystal system: tetragonal
E (eV/atom): -7.693
Magnetic moment (μB per atom): 0.050
Density (g cm⁻³): 6.8
SG: P4/mmm (123)
E_form (uncorrected) (meV per atom): -2258

(3)
The following is a PBE-GGA calculation of a relaxed KHfSb2O6 crystal, from the Alexandria database.

abc: 6.7529 7.0746 7.0746
angles: 94.70 82.41 82.41
Closest atoms and distances in Å follow each position.
Fractional positions:
Sb 0.2799 0.4354 0.2316  3 O 1.96-1.98
Sb 0.7799 0.2316 0.4354  3 O 1.96-1.98
Sb 0.2201 0.7684 0.5646  3 O 1.96-1.98
Sb 0.7201 0.5646 0.7684  3 O 1.96-1.98
O 0.0399 0.6017 0.1815  1 Sb 1.96, 1 Hf 2.03
O 0.6705 0.7386 0.0060  1 Sb 1.96, 1 Hf 2.10
O 0.4601 0.8185 0.3983  1 Sb 1.96, 1 Hf 2.03
O 0.1674 0.2773 0.4267  1 Sb 1.98, 1 Hf 2.20
O 0.1705 0.0060 0.7386  1 Sb 1.96, 1 Hf 2.10
O 0.5399 0.1815 0.6017  1 Sb 1.96, 1 Hf 2.03
O 0.8326 0.7227 0.5733  1 Sb 1.98, 1 Hf 2.20
O 0.3326 0.5733 0.7227  1 Sb 1.98, 1 Hf 2.20
O 0.8295 0.9940 0.2614  1 Sb 1.96, 1 Hf 2.10
O 0.9601 0.3983 0.8185  1 Sb 1.96, 1 Hf 2.03
O 0.3295 0.2614 0.9940  1 Sb 1.96, 1 Hf 2.10
O 0.6674 0.4267 0.2773  1 Sb 1.98, 1 Hf 2.20
K 0.7500 0.0887 0.9113  6 O 2.72-2.90
K 0.2500 0.9113 0.0887  6 O 2.72-2.90
Hf 0.7500 0.7179 0.2821  6 O 2.03-2.20
Hf 0.2500 0.2821 0.7179  6 O 2.03-2.20

## Properties
Crystal system: monoclinic
E (eV/atom): -6.841
Magnetic moment (μB per atom): 0.000
Density (g cm⁻³): 5.6
SG: C2/c (15)
E_form (uncorrected) (meV per atom): -1937

(4)
The following is a PBE-GGA calculation of a relaxed K3HfSb2O9 crystal, from the Alexandria database.

abc: 5.7546 5.7546 7.0485
angles: 90.00 90.00 120.00
Closest atoms and distances in Å follow each position.
Fractional positions:
O 0.1696 0.3392 0.3281  1 Sb 1.99, 1 Hf 2.08
O 0.6608 0.8304 0.3281  1 Sb 1.99, 1 Hf 2.08
O 0.5000 0.0000 0.0000  2 Sb 2.04
O 0.5000 0.5000 0.0000  2 Sb 2.04
O 0.8304 0.6608 0.6719  1 Sb 1.99, 1 Hf 2.08
O 0.0000 0.5000 0.0000  2 Sb 2.04
O 0.8304 0.1696 0.6719  1 Sb 1.99, 1 Hf 2.08
O 0.3392 0.1696 0.6719  1 Sb 1.99, 1 Hf 2.08
O 0.1696 0.8304 0.3281  1 Sb 1.99, 1 Hf 2.08
K 0.0000 0.0000 0.0000  12 O 2.86-2.88
K 0.3333 0.6667 0.6666  12 O 2.88-2.89
K 0.6667 0.3333 0.3334  12 O 2.88-2.89
Sb 0.6667 0.3333 0.8325  6 O 1.99-2.04
Sb 0.3333 0.6667 0.1675  6 O 1.99-2.04
Hf 0.0000 0.0000 0.5000  6 O 2.08

## Properties
Crystal system: trigonal
E (eV/atom): -6.296
Magnetic moment (μB per atom): 0.000
Density (g cm⁻³): 5.6
SG: P-3m1 (164)
E_form (uncorrected) (meV per atom): -1889

(5)
The following is a PBE-GGA calculation of a relaxed K2HfSbO6 crystal, from the Alexandria database.

abc: 5.7866 5.7868 8.1832
angles: 90.00 90.00 90.00
Closest atoms and distances in Å follow each position.
Fractional positions:
Sb 0.5000 0.2498 0.5000  6 O 2.01
Sb 0.0000 0.7502 0.0000  6 O 2.01
O 0.2548 0.0045 0.5000  1 Sb 2.01, 1 Hf 2.08
O 0.2452 0.9955 0.0000  1 Sb 2.01, 1 Hf 2.08
O 0.2453 0.5049 0.0000  1 Sb 2.01, 1 Hf 2.08
O 0.7548 0.9955 0.0000  1 Sb 2.01, 1 Hf 2.08
O 0.0000 0.7501 0.7546  1 Sb 2.01, 1 Hf 2.08
O 0.7547 0.5049 0.0000  1 Sb 2.01, 1 Hf 2.08
O 0.7452 0.0045 0.5000  1 Sb 2.01, 1 Hf 2.08
O 0.7453 0.4951 0.5000  1 Sb 2.01, 1 Hf 2.08
O 0.0000 0.7501 0.2454  1 Sb 2.01, 1 Hf 2.08
O 0.5000 0.2499 0.7454  1 Sb 2.01, 1 Hf 2.08
O 0.2547 0.4951 0.5000  1 Sb 2.01, 1 Hf 2.08
O 0.5000 0.2499 0.2546  1 Sb 2.01, 1 Hf 2.08
K 0.0000 0.2500 0.7500  12 O 2.89
K 0.5000 0.7500 0.2500  12 O 2.89
K 0.5000 0.7500 0.7500  12 O 2.89
K 0.0000 0.2500 0.2500  12 O 2.89
Hf 0.5000 0.2502 0.0000  6 O 2.08
Hf 0.0000 0.7498 0.5000  6 O 2.08

## Properties
Crystal system: cubic
E (eV/atom): -6.685
Magnetic moment (μB per atom): 0.065
Density (g cm⁻³): 5.8
SG: Fm-3m (225)
E_form (uncorrected) (meV per atom): -2083

(6)
The following is a PBE-GGA calculation of a relaxed KHfSnSbO6 crystal, from the Alexandria database.

abc: 5.7646 5.7646 5.7646
angles: 60.00 60.00 60.00
Closest atoms and distances in Å follow each position.
Fractional positions:
O 0.2546 0.7454 0.7454  1 Sb 2.00, 1 Hf 2.08
O 0.2546 0.7454 0.2546  1 Sb 2.00, 1 Hf 2.08
O 0.7454 0.7454 0.2546  1 Sb 2.00, 1 Hf 2.08
O 0.7454 0.2546 0.7454  1 Sb 2.00, 1 Hf 2.08
O 0.7454 0.2546 0.2546  1 Sb 2.00, 1 Hf 2.08
O 0.2546 0.2546 0.7454  1 Sb 2.00, 1 Hf 2.08
Hf 0.0000 0.0000 0.0000  6 O 2.08
Sb 0.5000 0.5000 0.5000  6 O 2.00
K 0.7500 0.7500 0.7500  12 O 2.88
Sn 0.2500 0.2500 0.2500  12 O 2.88

## Properties
Crystal system: cubic
E (eV/atom): -6.930
Magnetic moment (μB per atom): 0.000
Density (g cm⁻³): 6.8
SG: F-43m (216)
E_form (uncorrected) (meV per atom): -2037

(7)
The following is a PBE-GGA calculation of a relaxed KHf2Sc2O7 crystal, from the Alexandria database.

abc: 4.2263 4.2253 9.4707
angles: 102.89 102.89 90.00
Closest atoms and distances in Å follow each position.
Fractional positions:
O 0.6278 0.1278 0.2556  2 Hf 2.13, 1 Sc 2.20
O 0.1277 0.6277 0.2555  2 Hf 2.13, 1 Sc 2.20
O 0.8723 0.3722 0.7445  2 Hf 2.13, 1 Sc 2.20
O 0.3722 0.8722 0.7444  2 Hf 2.13, 1 Sc 2.20
O 0.5000 0.5000 0.0000  2 Hf 2.01
O 0.2675 0.2674 0.5349  4 Sc 2.14, 1 Hf 2.17
O 0.7325 0.7325 0.4651  4 Sc 2.14, 1 Hf 2.17
Hf 0.6117 0.6117 0.2234  6 O 2.01-2.17
Hf 0.3883 0.3883 0.7766  6 O 2.01-2.17
Sc 0.2499 0.7499 0.4999  6 O 2.14-2.20
Sc 0.7501 0.2500 0.5001  6 O 2.14-2.20
K 0.0000 0.0001 0.0000  12 O 2.99-3.12

## Properties
Crystal system: tetragonal
E (eV/atom): -8.893
Magnetic moment (μB per atom): 0.000
Density (g cm⁻³): 6.2
SG: I4/mmm (139)
E_form (uncorrected) (meV per atom): -3195

(8)
The following is a PBE-GGA calculation of a relaxed K2HfScO crystal, from the Alexandria database.

abc: 7.3381 3.9085 7.3381
angles: 90.00 90.00 90.00
Closest atoms and distances in Å follow each position.
Fractional positions:
Hf 0.0000 0.0000 0.0000  2 O 1.95
K 0.0000 0.0000 0.5000  2 Hf 3.67, 2 K 3.91
K 0.5000 0.0000 0.0000  2 Hf 3.67, 2 K 3.91
Sc 0.5000 0.5000 0.5000  2 Sc 3.91, 8 K 4.16
O 0.0000 0.5000 0.0000  2 Hf 1.95

## Properties
Crystal system: tetragonal
E (eV/atom): -4.691
Magnetic moment (μB per atom): 0.224
Density (g cm⁻³): 2.5
SG: P4/mmm (123)
E_form (uncorrected) (meV per atom): -4

(9)
The following is a PBE-GGA calculation of a relaxed KHfSi2O crystal, from the Alexandria database.

abc: 4.2960 4.5770 4.2960
angles: 90.00 90.00 90.00
Closest atoms and distances in Å follow each position.
Fractional positions:
K 0.0000 0.5000 0.0000  2 O 2.29
Si 0.5000 0.0000 0.0000  2 O 2.15
Si 0.0000 0.0000 0.5000  2 O 2.15
Hf 0.5000 0.5000 0.5000  4 K 3.04, 8 Si 3.14
O 0.0000 0.0000 0.0000  4 Si 2.15, 2 K 2.29

## Properties
Crystal system: tetragonal
E (eV/atom): -5.216
Magnetic moment (μB per atom): 0.000
Density (g cm⁻³): 5.7
SG: P4/mmm (123)
E_form (uncorrected) (meV per atom): 155

(10)
The following is a PBE-GGA calculation of a relaxed KSmHf4O12 crystal, from the Alexandria database.

abc: 5.7782 5.7782 8.1804
angles: 90.00 90.00 90.29
Closest atoms and distances in Å follow each position.
Fractional positions:
O 0.2689 0.2679 0.7155  2 Hf 2.08
O 0.7356 0.2644 0.3091  2 Hf 2.08
O 0.7356 0.2644 0.6909  2 Hf 2.08
O 0.2391 0.7609 0.2327  2 Hf 2.07
O 0.5267 0.0151 0.0000  2 Hf 2.02
O 0.7321 0.7311 0.2845  2 Hf 2.08
O 0.0823 0.5386 0.5000  2 Hf 2.14
O 0.2689 0.2679 0.2845  2 Hf 2.08
O 0.9849 0.4733 0.0000  2 Hf 2.02
O 0.4614 0.9177 0.5000  2 Hf 2.14
O 0.7321 0.7311 0.7155  2 Hf 2.08
O 0.2391 0.7609 0.7673  2 Hf 2.07
Hf 0.5043 0.0024 0.7532  6 O 2.02-2.14
Hf 0.5043 0.0024 0.2468  6 O 2.02-2.14
Hf 0.9976 0.4957 0.7532  6 O 2.02-2.14
Hf 0.9976 0.4957 0.2468  6 O 2.02-2.14
K 0.0066 0.9934 0.0000  6 O 2.69-3.01
Sm 0.4974 0.5026 0.5000  8 O 2.41-2.58

## Properties
Crystal system: orthorhombic
E (eV/atom): -8.579
Magnetic moment (μB per atom): 0.224
Density (g cm⁻³): 6.7
SG: Amm2 (38)
E_form (uncorrected) (meV per atom): -2739

(11)
The following is a PBE-GGA calculation of a relaxed K2HfTa3O12 crystal, from the Alexandria database.

abc: 7.5411 7.5411 7.5411
angles: 60.06 60.06 60.06
Closest atoms and distances in Å follow each position.
Fractional positions:
O 0.3091 0.9372 0.3091  2 Ta 1.99
O 0.9300 0.3266 0.9300  1 Ta 1.98, 1 Hf 2.08
O 0.3266 0.9300 0.9300  1 Ta 1.98, 1 Hf 2.08
O 0.0700 0.6734 0.0700  1 Ta 1.98, 1 Hf 2.08
O 0.6909 0.0628 0.6909  2 Ta 1.99
O 0.0700 0.0700 0.6734  1 Ta 1.98, 1 Hf 2.08
O 0.9300 0.9300 0.3266  1 Ta 1.98, 1 Hf 2.08
O 0.9372 0.3091 0.3091  2 Ta 1.99
O 0.6734 0.0700 0.0700  1 Ta 1.98, 1 Hf 2.08
O 0.0628 0.6909 0.6909  2 Ta 1.99
O 0.3091 0.3091 0.9372  2 Ta 1.99
O 0.6909 0.6909 0.0628  2 Ta 1.99
Ta 0.0000 0.0000 0.5000  6 O 1.98-1.99
Ta 0.5000 0.0000 0.0000  6 O 1.98-1.99
Ta 0.0000 0.5000 0.0000  6 O 1.98-1.99
K 0.6463 0.6463 0.6463  3 O 3.04
K 0.3537 0.3537 0.3537  3 O 3.04
Hf 0.0000 0.0000 0.0000  6 O 2.08

## Properties
Crystal system: trigonal
E (eV/atom): -8.396
Magnetic moment (μB per atom): 0.172
Density (g cm⁻³): 5.4
SG: R-3m (166)
E_form (uncorrected) (meV per atom): -2441

(12)
The following is a PBE-GGA calculation of a relaxed KHf2TaO8 crystal, from the Alexandria database.

abc: 4.8387 4.8381 7.2641
angles: 89.31 89.31 89.22
Closest atoms and distances in Å follow each position.
Fractional positions:
O 0.3893 0.3893 0.5029  1 O 1.52
O 0.6107 0.6107 0.4971  1 O 1.52
O 0.7901 0.1958 0.1958  1 Ta 1.98, 1 Hf 2.03
O 0.1959 0.7902 0.1958  1 Ta 1.98, 1 Hf 2.03
O 0.6991 0.6991 0.9965  2 Hf 2.06-2.09, 1 Ta 2.07
O 0.8041 0.2098 0.8042  1 Ta 1.98, 1 Hf 2.03
O 0.3009 0.3009 0.0035  2 Hf 2.06-2.09, 1 Ta 2.07
O 0.2099 0.8042 0.8042  1 Ta 1.98, 1 Hf 2.03
Hf 0.4965 0.4965 0.7856  6 O 2.03-2.23
Hf 0.5035 0.5035 0.2144  6 O 2.03-2.23
K 0.0000 0.0000 0.5000  6 O 2.61-2.68
Ta 0.0000 0.0000 0.0000  6 O 1.98-2.07

## Properties
Crystal system: monoclinic
E (eV/atom): -8.696
Magnetic moment (μB per atom): 0.000
Density (g cm⁻³): 6.9
SG: C2/m (12)
E_form (uncorrected) (meV per atom): -2652